No. 1
A plane-wave DFT calculation with PBE was carried out for a relaxed structure of SmPdPb.

The space group is P2_1/m (No. 11) and the conventional cell measures 4.836, 4.790 and 6.653 Å, with angles of 90.00, 107.12 and 90.00 degrees. The asymmetric unit holds Sm at (0.107, 0.250, 0.226), Pd at (0.302, 0.750, 0.505) and Pb at (0.370, 0.250, 0.792).

The formation energy is -0.62 eV per atom. The volume is 74 Å³/f.u. The calculation puts the total energy at -5.16 eV/atom.



No. 2
A plane-wave DFT calculation with PBE was carried out for a relaxed structure of Sm2PdPb.

The space group is Fmmm (No. 69) and the conventional cell measures 8.054, 10.164 and 10.283 Å, with angles of 90.00, 90.00 and 90.00 degrees. The asymmetric unit holds Sm at (0.229, 0.000, 0.000), Sm at (0.250, 0.250, 0.250), Pd at (0.000, 0.000, 0.286) and Pb at (0.000, 0.228, 0.500).

The formation energy is -0.57 eV per atom. The volume is 105 Å³/f.u. The calculation puts the total energy at -5.16 eV/atom.



No. 3
A plane-wave DFT calculation with PBE was carried out for a relaxed structure of Sm2PdPb.

The space group is P4/mmm (No. 123) and the conventional cell measures 3.632, 3.632 and 7.984 Å, with angles of 90.00, 90.00 and 90.00 degrees. The asymmetric unit holds Sm at (0.000, 0.000, 0.217), Pd at (0.500, 0.500, 0.000) and Pb at (0.500, 0.500, 0.500).

The formation energy is -0.64 eV per atom. The volume is 105 Å³/f.u. The calculation puts the total energy at -5.22 eV/atom.



No. 4
A plane-wave DFT calculation with PBE was carried out for a relaxed structure of Sr2SmPd4Pb3.

The space group is P-4m2 (No. 115) and the conventional cell measures 4.771, 4.771 and 11.514 Å, with angles of 90.00, 90.00 and 90.00 degrees. The asymmetric unit holds Sr at (0.000, 0.500, 0.223), Sm at (0.000, 0.000, 0.500), Pd at (0.000, 0.000, 0.000), Pd at (0.000, 0.500, 0.644), Pd at (0.500, 0.500, 0.000), Pb at (0.000, 0.500, 0.879) and Pb at (0.500, 0.500, 0.500).

The formation energy is -0.57 eV per atom. The volume is 262 Å³/f.u. The calculation puts the total energy at -4.57 eV/atom.